Below is TaSbIr2 after structural relaxation, with properties calculated at the PBE level.

Unit cell a=7.165 b=7.165 c=7.165 alpha=131.91 beta=131.91 gamma=70.36
Element x y z (fractional)
1 Ta 0.000 0.000 0.000
2 Ta 0.750 0.250 0.500
3 Sb 0.250 0.750 0.500
4 Sb 0.500 0.500 0.000
5 Ir 0.115 0.625 0.990
6 Ir 0.375 0.365 0.490
7 Ir 0.635 0.125 0.010
8 Ir 0.875 0.885 0.510

Properties
* V: 24.95 Å³ per atom
* crystal system: tetragonal
* E_tot: -8.1389 eV/atom
* ρ: 11432 kg/m3
* formation energy without anion corrections: 28 kJ per mole of atoms

=====

Below is Ce3Ga3Pt after structural relaxation, with properties calculated at the PBE level.

Unit cell a=10.217 b=10.217 c=10.217 alpha=159.31 beta=154.67 gamma=32.93
Element x y z (fractional)
1 Ce 0.000 0.000 0.000
2 Ce 0.384 0.384 0.000
3 Ce 0.701 0.201 0.500
4 Ga 0.130 0.630 0.500
5 Ga 0.556 0.556 0.000
6 Ga 0.835 0.835 0.000
7 Pt 0.262 0.762 0.500

Properties
* V: 23.02 Å³ per atom
* crystal system: orthorhombic
* formation energy: -0.6757 eV per atom
* E_tot: -5.3790 eV/atom
* ρ: 8498 kg/m3

=====

Below is Dy2Ho6Tm3Zr after structural relaxation, with properties calculated at the PBE level.

Unit cell a=6.034 b=6.034 c=11.544 alpha=94.97 beta=94.97 gamma=119.90
Element x y z (fractional)
1 Dy 0.167 0.833 0.000
2 Dy 0.833 0.167 0.000
3 Ho 0.091 0.418 0.754
4 Ho 0.255 0.255 0.246
5 Ho 0.418 0.091 0.754
6 Ho 0.582 0.909 0.246
7 Ho 0.745 0.745 0.754
8 Ho 0.909 0.582 0.246
9 Tm 0.000 0.000 0.500
10 Tm 0.333 0.667 0.500
11 Tm 0.667 0.333 0.500
12 Zr 0.500 0.500 0.000

Properties
* V: 29.90 Å³ per atom
* crystal system: monoclinic
* formation energy: 0.0440 eV per atom
* E_tot: -4.8421 eV/atom
* ρ: 8851 kg/m3

=====

Below is AlIn2GaSe4 after structural relaxation, with properties calculated at the PBE level.

Unit cell a=6.717 b=6.717 c=7.290 alpha=122.83 beta=122.83 gamma=79.81
Element x y z (fractional)
1 Al 0.000 0.000 0.000
2 In 0.500 0.500 0.000
3 In 0.751 0.249 0.500
4 Ga 0.250 0.750 0.500
5 Se 0.125 0.371 0.083
6 Se 0.288 0.043 0.413
7 Se 0.629 0.875 0.917
8 Se 0.957 0.712 0.587

Properties
* V: 28.63 Å³ per atom
* crystal system: monoclinic
* E_tot: -3.8033 eV/atom
* ρ: 4656 kg/m3
* formation energy without anion corrections: -51 kJ per mole of atoms

=====

Below is TiSnHIr2 after structural relaxation, with properties calculated at the PBE level.

Unit cell a=4.069 b=4.069 c=4.049 alpha=90.00 beta=90.00 gamma=90.00
Element x y z (fractional)
1 Ti 0.000 0.000 0.000
2 Sn 0.500 0.500 0.000
3 H 0.000 0.000 0.500
4 Ir 0.000 0.500 0.500
5 Ir 0.500 0.000 0.500

Properties
* V: 13.41 Å³ per atom
* crystal system: tetragonal
* E_tot: -6.8684 eV/atom
* ρ: 13674 kg/m3

=====

Below is LaTb2HoS6 after structural relaxation, with properties calculated at the PBE level.

Unit cell a=7.412 b=7.412 c=7.412 alpha=56.65 beta=56.65 gamma=56.65
Element x y z (fractional)
1 La 0.000 0.000 0.000
2 Tb 0.288 0.288 0.288
3 Tb 0.793 0.793 0.793
4 Ho 0.491 0.491 0.491
5 S 0.089 0.669 0.415
6 S 0.195 0.586 0.889
7 S 0.415 0.089 0.669
8 S 0.586 0.889 0.195
9 S 0.669 0.415 0.089
10 S 0.889 0.195 0.586

Properties
* V: 26.57 Å³ per atom
* crystal system: trigonal
* E_tot: -6.4305 eV/atom
* ρ: 5088 kg/m3
* formation energy without anion corrections: -200 kJ per mole of atoms

=====

Below is ScBe2CrFe after structural relaxation, with properties calculated at the PBE level.

Unit cell a=4.202 b=4.202 c=4.303 alpha=90.00 beta=90.00 gamma=90.00
Element x y z (fractional)
1 Sc 0.000 0.000 0.000
2 Be 0.000 0.500 0.500
3 Be 0.500 0.000 0.500
4 Cr 0.500 0.500 0.000
5 Fe 0.000 0.000 0.500

Properties
* V: 15.20 Å³ per atom
* crystal system: tetragonal
* formation energy: 0.6543 eV per atom
* E_tot: -5.7197 eV/atom
* ρ: 3733 kg/m3

=====

Below is NpPaSe3 after structural relaxation, with properties calculated at the PBE level.

Unit cell a=7.728 b=4.053 c=15.783 alpha=90.00 beta=90.00 gamma=90.00
Element x y z (fractional)
1 Np 0.103 0.250 0.208
2 Np 0.397 0.750 0.708
3 Np 0.603 0.250 0.292
4 Np 0.897 0.750 0.792
5 Pa 0.242 0.750 0.458
6 Pa 0.258 0.250 0.958
7 Pa 0.742 0.750 0.042
8 Pa 0.758 0.250 0.542
9 Se 0.001 0.250 0.396
10 Se 0.122 0.750 0.071
11 Se 0.171 0.250 0.778
12 Se 0.329 0.750 0.278
13 Se 0.378 0.250 0.571
14 Se 0.499 0.750 0.896
15 Se 0.501 0.250 0.104
16 Se 0.622 0.750 0.429
17 Se 0.671 0.250 0.722
18 Se 0.829 0.750 0.222
19 Se 0.878 0.250 0.929
20 Se 0.999 0.750 0.604

Properties
* V: 24.72 Å³ per atom
* crystal system: orthorhombic
* E above lowest polymorph: 0.000 kcal/mol of atoms
* E_tot: -7.8671 eV/atom
* ρ: 9471 kg/m3
* formation energy without anion corrections: -124 kJ per mole of atoms

=====

Below is Ti4SiH2 after structural relaxation, with properties calculated at the PBE level.

Unit cell a=6.289 b=6.276 c=7.841 alpha=51.47 beta=51.31 gamma=77.22
Element x y z (fractional)
1 Ti 0.057 0.443 0.192
2 Ti 0.058 0.942 0.193
3 Ti 0.094 0.480 0.772
4 Ti 0.443 0.057 0.308
5 Ti 0.478 0.596 0.156
6 Ti 0.480 0.094 0.654
7 Ti 0.596 0.478 0.770
8 Ti 0.942 0.058 0.807
9 Si 0.643 0.643 0.357
10 Si 0.893 0.893 0.607
11 H 0.211 0.327 0.981
12 H 0.269 0.769 0.039
13 H 0.327 0.211 0.481
14 H 0.769 0.269 0.923

Properties
* V: 12.97 Å³ per atom
* crystal system: orthorhombic
* E above lowest polymorph: 0.000 kcal/mol of atoms
* E_tot: -6.6293 eV/atom
* ρ: 4051 kg/m3

=====

Below is TaGeSb3 after structural relaxation, with properties calculated at the PBE level.

Unit cell a=5.356 b=5.356 c=5.356 alpha=90.00 beta=90.00 gamma=90.00
Element x y z (fractional)
1 Ta 0.000 0.000 0.000
2 Ge 0.500 0.500 0.500
3 Sb 0.000 0.000 0.500
4 Sb 0.000 0.500 0.000
5 Sb 0.500 0.000 0.000

Properties
* V: 30.73 Å³ per atom
* crystal system: cubic
* E above lowest polymorph: 0.000 kcal/mol of atoms
* E_tot: -5.1145 eV/atom
* ρ: 6689 kg/m3
* formation energy without anion corrections: 63 kJ per mole of atoms

=====

Below is RbSeBr3 after structural relaxation, with properties calculated at the PBE level.

Unit cell a=5.410 b=7.517 c=10.826 alpha=102.57 beta=97.77 gamma=102.99
Element x y z (fractional)
1 Rb 0.156 0.233 0.259
2 Rb 0.844 0.767 0.741
3 Se 0.395 0.359 0.811
4 Se 0.605 0.641 0.189
5 Br 0.213 0.458 0.617
6 Br 0.402 0.045 0.678
7 Br 0.404 0.713 0.963
8 Br 0.596 0.287 0.037
9 Br 0.598 0.955 0.322
10 Br 0.787 0.542 0.383

Properties
* V: 41.08 Å³ per atom
* crystal system: triclinic
* E_tot: -2.6444 eV/atom
* ρ: 3268 kg/m3
* formation energy without anion corrections: -72 kJ per mole of atoms

=====

Below is CuTeSCl2 after structural relaxation, with properties calculated at the PBE level.

Unit cell a=4.587 b=4.587 c=4.891 alpha=90.00 beta=90.00 gamma=90.00
Element x y z (fractional)
1 Cu 0.000 0.000 0.000
2 Te 0.500 0.500 0.500
3 S 0.000 0.000 0.500
4 Cl 0.000 0.500 0.000
5 Cl 0.500 0.000 0.000

Properties
* V: 20.58 Å³ per atom
* crystal system: tetragonal
* E above lowest polymorph: 0.000 kcal/mol of atoms
* E_tot: -2.8849 eV/atom
* ρ: 4746 kg/m3
* formation energy without anion corrections: 12 kJ per mole of atoms